Here is a geometry-optimized Mn2AlCo structure from the Alexandria database. Energies are from GGA-PBEsol.

```
Mn2AlCo
1.0
2.824 0.000 0.000
0.000 2.824 0.000
0.000 0.000 5.635
Al Mn Co
1 2 1
Direct
0.000 0.000 0.508 Al
0.500 0.500 0.229 Mn
0.000 0.000 0.006 Mn
0.500 0.500 0.757 Co
```

## Properties
Mass density ... 7.23 Mg/m³
Total energy ... -8.053 eV per atom
Formation energy ... -0.216 eV per atom
SG ... P4mm
Distance to the lowest polymorph of the same formula ... 4 kJ/mol of formula units

---

Here is a geometry-optimized BaTaHg2 structure from the Alexandria database. Energies are from GGA-PBEsol.

```
BaTaHg2
1.0
3.131 0.000 0.052
0.000 4.844 0.000
-0.158 0.000 6.728
Hg Ta Ba
2 1 1
Direct
0.875 0.500 0.319 Hg
0.874 0.000 0.027 Hg
0.381 0.000 0.381 Ta
0.369 0.500 0.773 Ba
```

## Properties
Mass density ... 11.70 Mg/m³
Total energy ... -3.622 eV per atom
Formation energy ... 0.337 eV per atom
SG ... Pm